1.
DFT (PBE) results for an optimized crystal structure of VAsRuBr2.

The structure in extended XYZ format:
```
5
Lattice="-1.650 4.283 1.706 -3.235 -2.367 2.813 3.285 -0.179 3.627" Properties=species:S:1:pos:R:3 pbc="T T T"
Ru -0.800 0.868 4.073
Br -1.617 -1.183 1.406
Br -0.825 2.142 0.853
As 1.643 -0.090 1.814
V 0.000 0.000 0.000
```

2.
DFT (PBE) results for an optimized crystal structure of Zr2BeBr.

The structure in extended XYZ format:
```
8
Lattice="-3.518 -2.377 -3.804 0.383 -4.976 2.756 -6.332 -2.137 2.919" Properties=species:S:1:pos:R:3 pbc="T T T"
Zr -3.535 -2.507 -1.088
Zr -1.983 -4.076 1.761
Zr -7.514 -7.755 1.115
Zr -5.903 -4.642 1.952
Br 0.000 0.000 0.000
Br -5.709 -4.096 -0.705
Be -3.758 -5.395 2.575
Be -1.568 -3.677 -0.524
```

| no. | formation energy from raw total energies (eV/atom) |
| --- | --- |
| 1 | 0.874 |
| 2 | 0.430 |